(1)
First-principles (GGA-PBE) data for Y3As2Rh6 after structural relaxation, as listed in Alexandria.

```
Y3As2Rh6
1.0
-4.637 4.637 4.637
4.637 -4.637 4.637
4.637 4.637 -4.637
Y As Rh
6 4 12
Cartesian
2.607 0.000 0.000 Y
6.668 0.000 0.000 Y
0.000 2.607 0.000 Y
0.000 0.000 2.607 Y
0.000 6.668 0.000 Y
0.000 0.000 6.668 Y
2.319 2.319 -2.319 As
2.319 -2.319 2.319 As
-2.319 2.319 2.319 As
2.319 2.319 2.319 As
4.637 1.430 -1.430 Rh
4.637 -1.430 1.430 Rh
4.637 1.430 1.430 Rh
1.430 4.637 -1.430 Rh
3.208 3.208 0.000 Rh
1.430 -1.430 4.637 Rh
3.208 0.000 3.208 Rh
-1.430 4.637 1.430 Rh
1.430 4.637 1.430 Rh
-1.430 1.430 4.637 Rh
1.430 1.430 4.637 Rh
0.000 3.208 3.208 Rh
```

DOS at the Fermi energy: 21.845 states/eV/cell
E_tot: -7.326 eV/atom
Density: 8.6 g/cm3

---

(2)
First-principles (GGA-PBE) data for YAs2Rh after structural relaxation, as listed in Alexandria.

```
YAs2Rh
1.0
6.384 0.000 0.000
0.000 6.405 0.000
0.000 0.000 3.642
Y As Rh
2 4 2
Cartesian
0.000 0.000 0.000 Y
3.192 3.202 0.000 Y
1.596 1.601 1.821 As
1.596 4.804 1.821 As
4.788 1.601 1.821 As
4.788 4.804 1.821 As
0.000 3.202 0.000 Rh
3.192 0.000 0.000 Rh
```

DOS at the Fermi energy: 5.257 states/eV/cell
E_tot: -6.391 eV/atom
Density: 7.6 g/cm3

---

(3)
First-principles (GGA-PBE) data for YAsRh2 after structural relaxation, as listed in Alexandria.

```
YAsRh2
1.0
4.196 0.000 0.000
0.000 4.196 0.000
0.000 0.000 7.785
Y As Rh
2 2 4
Cartesian
0.000 0.000 0.000 Y
2.098 2.098 3.893 Y
0.000 0.000 3.893 As
2.098 2.098 0.000 As
0.000 2.098 1.946 Rh
0.000 2.098 5.839 Rh
2.098 0.000 1.946 Rh
2.098 0.000 5.839 Rh
```

DOS at the Fermi energy: 3.400 states/eV/cell
E_tot: -7.091 eV/atom
Density: 9.0 g/cm3

---

(4)
First-principles (GGA-PBE) data for YAsRh after structural relaxation, as listed in Alexandria.

```
YAsRh
1.0
6.932 0.000 0.000
0.000 4.039 0.000
-0.194 0.000 12.040
Y As Rh
6 6 6
Cartesian
0.146 1.010 2.493 Y
2.263 3.030 6.970 Y
3.097 3.030 10.575 Y
3.640 1.010 1.466 Y
4.475 1.010 5.071 Y
6.592 3.030 9.547 Y
1.495 1.010 5.015 As
1.572 3.030 0.912 As
1.716 1.010 9.012 As
5.022 3.030 3.029 As
5.165 1.010 11.129 As
5.242 3.030 7.025 As
-0.061 3.030 4.939 Rh
0.875 1.010 11.532 Rh
2.443 3.030 3.536 Rh
4.295 1.010 8.505 Rh
5.863 3.030 0.509 Rh
6.798 1.010 7.101 Rh
```

DOS at the Fermi energy: 14.784 states/eV/cell
E_tot: -7.283 eV/atom
Density: 7.9 g/cm3

---

(5)
First-principles (GGA-PBE) data for Y2As3Rh5 after structural relaxation, as listed in Alexandria.

```
Y2As3Rh5
1.0
2.081 -12.332 0.000
2.081 12.332 0.000
0.000 0.000 6.676
Y As Rh
4 6 10
Cartesian
2.081 11.863 3.338 Y
2.081 4.359 3.690 Y
2.081 -4.359 0.352 Y
2.081 -11.863 0.000 Y
2.081 9.597 1.702 As
2.081 5.457 0.729 As
2.081 1.163 1.924 As
2.081 -1.163 5.262 As
2.081 -5.457 4.067 As
2.081 -9.597 5.040 As
2.081 9.889 5.800 Rh
2.081 7.362 2.621 Rh
2.081 6.809 5.364 Rh
2.081 3.006 0.223 Rh
2.081 1.406 4.418 Rh
2.081 -1.406 1.080 Rh
2.081 -3.006 3.561 Rh
2.081 -6.809 2.026 Rh
2.081 -7.362 5.959 Rh
2.081 -9.889 2.462 Rh
```

DOS at the Fermi energy: 13.549 states/eV/cell
E_tot: -7.161 eV/atom
Density: 8.9 g/cm3

---

(6)
First-principles (GGA-PBE) data for YAs2Rh2 after structural relaxation, as listed in Alexandria.

```
YAs2Rh2
1.0
4.543 0.000 0.000
0.000 4.543 0.000
0.000 0.000 9.056
Y As Rh
2 4 4
Cartesian
0.000 0.000 0.000 Y
2.272 2.272 4.528 Y
0.000 2.272 2.264 As
0.000 2.272 6.792 As
2.272 0.000 2.264 As
2.272 0.000 6.792 As
0.000 0.000 3.217 Rh
0.000 0.000 5.840 Rh
2.272 2.272 1.312 Rh
2.272 2.272 7.745 Rh
```

DOS at the Fermi energy: 8.638 states/eV/cell
E_tot: -6.804 eV/atom
Density: 7.9 g/cm3

---

(7)
First-principles (GGA-PBE) data for YAsRh2 after structural relaxation, as listed in Alexandria.

```
YAsRh2
1.0
3.403 0.000 0.000
0.000 3.403 0.000
0.000 0.000 6.097
Y As Rh
1 1 2
Cartesian
0.000 0.000 0.000 Y
0.000 0.000 3.048 As
1.701 1.701 1.669 Rh
1.701 1.701 4.428 Rh
```

DOS at the Fermi energy: 1.766 states/eV/cell
E_tot: -7.000 eV/atom
Density: 8.7 g/cm3

---

(8)
First-principles (GGA-PBE) data for YAs2Rh after structural relaxation, as listed in Alexandria.

```
YAs2Rh
1.0
3.696 0.000 0.000
0.000 3.696 0.000
0.000 0.000 5.768
Y As Rh
1 2 1
Cartesian
0.000 0.000 0.000 Y
0.000 0.000 2.922 As
1.848 1.848 1.064 As
1.848 1.848 3.646 Rh
```

DOS at the Fermi energy: 2.453 states/eV/cell
E_tot: -6.373 eV/atom
Density: 7.2 g/cm3

---

(9)
First-principles (GGA-PBE) data for YAs2Rh after structural relaxation, as listed in Alexandria.

```
YAs2Rh
1.0
3.246 0.000 0.000
0.000 3.246 0.000
0.000 0.000 7.047
Y As Rh
1 2 1
Cartesian
0.000 0.000 0.000 Y
1.623 1.623 2.040 As
1.623 1.623 5.006 As
0.000 0.000 3.523 Rh
```

DOS at the Fermi energy: 3.609 states/eV/cell
E_tot: -6.215 eV/atom
Density: 7.6 g/cm3

---

(10)
First-principles (GGA-PBE) data for YAs2Rh after structural relaxation, as listed in Alexandria.

```
YAs2Rh
1.0
4.235 0.000 0.000
0.000 4.362 0.000
-0.658 0.000 4.643
Y As Rh
1 2 1
Cartesian
0.000 0.000 0.000 Y
1.316 0.000 2.519 As
2.551 2.181 1.345 As
1.447 2.181 3.646 Rh
```

DOS at the Fermi energy: 0.726 states/eV/cell
E_tot: -6.433 eV/atom
Density: 6.6 g/cm3

---

(11)
First-principles (GGA-PBE) data for YAs2Rh after structural relaxation, as listed in Alexandria.

```
YAs2Rh
1.0
4.018 0.000 0.000
-2.009 3.480 0.000
0.000 0.000 16.684
Y As Rh
3 6 3
Cartesian
0.000 0.000 0.000 Y
0.000 2.320 11.123 Y
2.009 1.160 5.561 Y
0.000 0.000 3.870 As
0.000 0.000 12.814 As
0.000 2.320 7.253 As
0.000 2.320 14.993 As
2.009 1.160 1.691 As
2.009 1.160 9.432 As
0.000 0.000 8.342 Rh
0.000 2.320 2.781 Rh
2.009 1.160 13.904 Rh
```

DOS at the Fermi energy: 0.939 states/eV/cell
E_tot: -6.666 eV/atom
Density: 7.3 g/cm3

---

(12)
First-principles (GGA-PBE) data for YAs2Rh after structural relaxation, as listed in Alexandria.

```
YAs2Rh
1.0
4.002 0.000 0.000
-2.001 3.465 0.000
0.000 0.000 17.353
Y As Rh
3 6 3
Cartesian
0.000 0.000 0.000 Y
0.000 2.310 11.569 Y
2.001 1.155 5.784 Y
0.000 0.000 3.841 As
0.000 0.000 7.447 As
0.000 2.310 1.663 As
0.000 2.310 15.410 As
2.001 1.155 9.625 As
2.001 1.155 13.232 As
0.000 0.000 14.168 Rh
0.000 2.310 8.384 Rh
2.001 1.155 2.599 Rh
```

DOS at the Fermi energy: 4.053 states/eV/cell
E_tot: -6.618 eV/atom
Density: 7.1 g/cm3

---

(13)
First-principles (GGA-PBE) data for YAs2Rh after structural relaxation, as listed in Alexandria.

```
YAs2Rh
1.0
3.203 0.000 0.000
0.000 3.203 0.000
0.000 0.000 8.447
Y As Rh
1 2 1
Cartesian
0.000 0.000 0.000 Y
0.000 0.000 5.125 As
1.602 1.602 1.962 As
1.602 1.602 6.298 Rh
```

DOS at the Fermi energy: 1.866 states/eV/cell
E_tot: -6.238 eV/atom
Density: 6.5 g/cm3

---

(14)
First-principles (GGA-PBE) data for YAs2Rh after structural relaxation, as listed in Alexandria.

```
YAs2Rh
1.0
4.033 0.000 0.000
0.000 5.643 0.000
0.000 0.000 6.957
Y As Rh
2 4 2
Cartesian
0.000 0.000 0.000 Y
2.016 2.821 3.479 Y
0.000 2.821 1.451 As
0.000 2.821 5.506 As
2.016 0.000 2.027 As
2.016 0.000 4.930 As
0.000 0.000 3.479 Rh
2.016 2.821 0.000 Rh
```

DOS at the Fermi energy: 2.386 states/eV/cell
E_tot: -6.503 eV/atom
Density: 7.2 g/cm3

---

(15)
First-principles (GGA-PBE) data for YAsRh2 after structural relaxation, as listed in Alexandria.

```
YAsRh2
1.0
7.236 0.000 0.000
0.000 7.236 0.000
0.000 0.000 5.917
Y As Rh
4 4 8
Cartesian
0.000 0.000 0.000 Y
0.000 3.618 1.479 Y
3.618 0.000 4.438 Y
3.618 3.618 2.959 Y
0.000 0.000 2.959 As
0.000 3.618 4.438 As
3.618 0.000 1.479 As
3.618 3.618 0.000 As
1.351 1.809 3.698 Rh
1.809 4.969 5.178 Rh
1.809 5.885 2.219 Rh
2.267 1.809 0.740 Rh
4.969 5.427 0.740 Rh
5.427 1.351 2.219 Rh
5.427 2.267 5.178 Rh
5.885 5.427 3.698 Rh
```

DOS at the Fermi energy: 12.570 states/eV/cell
E_tot: -6.930 eV/atom
Density: 7.9 g/cm3

---

(16)
First-principles (GGA-PBE) data for Y2As2Rh5 after structural relaxation, as listed in Alexandria.

```
Y2As2Rh5
1.0
4.241 0.000 0.000
0.000 4.241 0.000
0.000 0.000 8.789
Y As Rh
2 2 5
Cartesian
0.000 0.000 0.000 Y
0.000 0.000 4.395 Y
2.120 2.120 1.293 As
2.120 2.120 7.496 As
0.000 2.120 2.357 Rh
0.000 2.120 6.432 Rh
2.120 0.000 2.357 Rh
2.120 0.000 6.432 Rh
2.120 2.120 4.395 Rh
```

DOS at the Fermi energy: 5.051 states/eV/cell
E_tot: -7.341 eV/atom
Density: 8.8 g/cm3

---

(17)
First-principles (GGA-PBE) data for YAsRh2 after structural relaxation, as listed in Alexandria.

```
YAsRh2
1.0
6.578 0.000 0.000
0.000 6.578 0.000
0.000 0.000 6.578
Y As Rh
4 4 8
Cartesian
0.000 0.000 0.000 Y
0.000 3.289 3.289 Y
3.289 0.000 3.289 Y
3.289 3.289 0.000 Y
1.644 1.644 1.644 As
1.644 4.933 4.933 As
4.933 1.644 4.933 As
4.933 4.933 1.644 As
0.000 0.000 3.289 Rh
0.000 3.289 0.000 Rh
1.644 1.644 4.933 Rh
1.644 4.933 1.644 Rh
3.289 0.000 0.000 Rh
3.289 3.289 3.289 Rh
4.933 1.644 1.644 Rh
4.933 4.933 4.933 Rh
```

DOS at the Fermi energy: 28.395 states/eV/cell
E_tot: -6.809 eV/atom
Density: 8.6 g/cm3

---

(18)
First-principles (GGA-PBE) data for YAs2Rh4 after structural relaxation, as listed in Alexandria.

```
YAs2Rh4
1.0
16.895 0.000 0.000
0.000 4.189 0.000
0.000 0.000 6.540
Y As Rh
4 8 16
Cartesian
2.383 1.047 0.239 Y
6.065 3.142 3.509 Y
10.830 1.047 3.031 Y
14.513 3.142 6.301 Y
0.667 3.142 1.622 As
3.527 1.047 3.925 As
4.921 3.142 0.655 As
7.781 1.047 4.892 As
9.114 3.142 1.648 As
11.975 1.047 5.885 As
13.368 3.142 2.615 As
16.228 1.047 4.918 As
0.514 3.142 5.616 Rh
1.146 1.047 3.329 Rh
2.964 3.142 2.452 Rh
3.622 3.142 5.163 Rh
4.825 1.047 1.893 Rh
5.484 1.047 5.722 Rh
7.302 3.142 0.058 Rh
7.933 1.047 2.346 Rh
8.962 3.142 4.195 Rh
9.593 1.047 6.482 Rh
11.411 3.142 0.818 Rh
12.070 3.142 4.648 Rh
13.273 1.047 1.378 Rh
13.931 1.047 4.088 Rh
15.750 3.142 3.212 Rh
16.381 1.047 0.925 Rh
```

DOS at the Fermi energy: 12.326 states/eV/cell
E_tot: -7.131 eV/atom
Density: 9.3 g/cm3

---

(19)
First-principles (GGA-PBE) data for Y3As4Rh7 after structural relaxation, as listed in Alexandria.

```
Y3As4Rh7
1.0
7.670 -2.029 0.000
7.670 2.029 0.000
-5.339 0.000 7.730
Y As Rh
3 4 7
Cartesian
0.000 0.000 0.000 Y
3.288 0.000 2.597 Y
6.714 0.000 5.134 Y
-2.758 0.000 6.415 As
1.222 0.000 5.639 As
8.780 0.000 2.091 As
12.760 0.000 1.315 As
-2.669 0.000 3.865 Rh
0.287 0.000 3.285 Rh
-0.482 0.000 7.420 Rh
3.691 0.000 5.564 Rh
6.311 0.000 2.167 Rh
10.484 0.000 0.310 Rh
9.714 0.000 4.445 Rh
```

DOS at the Fermi energy: 8.261 states/eV/cell
E_tot: -7.307 eV/atom
Density: 8.9 g/cm3

---

(20)
First-principles (GGA-PBE) data for YAsRh2 after structural relaxation, as listed in Alexandria.

```
YAsRh2
1.0
4.243 0.000 0.000
-2.121 3.674 0.000
0.000 0.000 14.625
Y As Rh
3 3 6
Cartesian
0.000 0.000 0.000 Y
0.000 2.449 9.750 Y
2.121 1.225 4.875 Y
0.000 0.000 11.737 As
0.000 2.449 6.862 As
2.121 1.225 1.987 As
0.000 0.000 2.980 Rh
0.000 0.000 6.484 Rh
0.000 2.449 1.609 Rh
0.000 2.449 12.730 Rh
2.121 1.225 7.855 Rh
2.121 1.225 11.359 Rh
```

DOS at the Fermi energy: 5.977 states/eV/cell
E_tot: -7.127 eV/atom
Density: 8.1 g/cm3

---

(21)
First-principles (GGA-PBE) data for YAsRh2 after structural relaxation, as listed in Alexandria.

```
YAsRh2
1.0
3.790 0.000 0.000
0.000 3.800 0.000
0.000 0.000 5.639
Y As Rh
1 1 2
Cartesian
0.000 0.000 0.000 Y
1.895 0.000 2.819 As
1.895 1.900 1.378 Rh
1.895 1.900 4.261 Rh
```

DOS at the Fermi energy: 2.480 states/eV/cell
E_tot: -7.044 eV/atom
Density: 7.6 g/cm3

---

(22)
First-principles (GGA-PBE) data for YAs2Rh2 after structural relaxation, as listed in Alexandria.

```
YAs2Rh2
1.0
4.142 0.000 0.000
0.000 4.142 0.000
0.000 0.000 10.435
Y As Rh
2 4 4
Cartesian
0.000 0.000 0.000 Y
2.071 2.071 5.218 Y
0.000 0.000 3.970 As
0.000 0.000 6.465 As
2.071 2.071 1.248 As
2.071 2.071 9.187 As
0.000 2.071 2.609 Rh
0.000 2.071 7.826 Rh
2.071 0.000 2.609 Rh
2.071 0.000 7.826 Rh
```

DOS at the Fermi energy: 7.786 states/eV/cell
E_tot: -6.915 eV/atom
Density: 8.2 g/cm3

---

(23)
First-principles (GGA-PBE) data for Y3AsRh after structural relaxation, as listed in Alexandria.

```
Y3AsRh
1.0
5.291 0.000 0.000
0.000 5.291 0.000
0.000 0.000 5.291
Y As Rh
3 1 1
Cartesian
0.000 0.000 2.646 Y
0.000 2.646 0.000 Y
2.646 0.000 0.000 Y
2.646 2.646 2.646 As
0.000 0.000 0.000 Rh
```

Distance to the lowest polymorph of the same formula: 0 meV per atom
DOS at the Fermi energy: 5.438 states/eV/cell
E_tot: -6.654 eV/atom
Density: 5.0 g/cm3

---

(24)
First-principles (GGA-PBE) data for Y4As6Rh7 after structural relaxation, as listed in Alexandria.

```
Y4As6Rh7
1.0
-4.209 4.209 4.209
4.209 -4.209 4.209
4.209 4.209 -4.209
Y As Rh
4 6 7
Cartesian
2.105 2.105 -2.105 Y
2.105 -2.105 2.105 Y
-2.105 2.105 2.105 Y
2.105 2.105 2.105 Y
2.689 0.000 0.000 As
5.729 0.000 0.000 As
0.000 2.689 0.000 As
0.000 0.000 2.689 As
0.000 5.729 0.000 As
0.000 0.000 5.729 As
0.000 0.000 0.000 Rh
4.209 2.105 0.000 Rh
4.209 0.000 2.105 Rh
2.105 4.209 0.000 Rh
2.105 0.000 4.209 Rh
0.000 4.209 2.105 Rh
0.000 2.105 4.209 Rh
```

DOS at the Fermi energy: 6.844 states/eV/cell
E_tot: -7.199 eV/atom
Density: 8.5 g/cm3